GGA+U CaCrGeO6, optimized geometry; DFT total energy = -6.402 eV per atom; N(E_F) = 7.4 states/eV per cell; SG = No. 102
1.0
4.7447 0.0000 0.0000
0.0000 4.7447 0.0000
0.0000 0.0000 9.3342
O Ge Cr Ca
12 2 2 2
direct
0.7705 0.2295 0.8081
0.2705 0.2705 0.3081
0.2295 0.7705 0.8081
0.1734 0.8266 0.5013
0.7295 0.7295 0.3081
0.8266 0.1734 0.5013
0.2661 0.2661 0.6943
0.7661 0.2339 0.1943
0.7339 0.7339 0.6943
0.6734 0.6734 0.0013
0.2339 0.7661 0.1943
0.3266 0.3266 0.0013
0.0000 0.0000 0.3402
0.5000 0.5000 0.8402
0.5000 0.5000 0.1548
0.0000 0.0000 0.6548
0.0000 0.0000 0.9975
0.5000 0.5000 0.4975